Entry 1:
TcHgTe2 | Alexandria via LeMat-Bulk | PBE-GGA | relaxed; magnetic moment = 0.97 Bohr magnetons per cell; DFT total energy = -3.695 eV per atom; crystal system = trigonal; Fermi-level density of states = 0.444 states/eV/atom
1.0
-6.735 5.853 -8.613
-8.590 3.316 -8.307
-8.944 5.776 -6.358
Te Hg Tc
2 1 1
Direct
0.929 0.929 0.929
0.071 0.071 0.071
0.500 0.500 0.500
0.000 0.000 0.000

Entry 2:
TcHgTe2 | Alexandria via LeMat-Bulk | PBE-GGA | relaxed; magnetic moment = 0.00 Bohr magnetons per cell; DFT total energy = -3.979 eV per atom; crystal system = tetragonal; Fermi-level density of states = 0.880 states/eV/atom
1.0
-0.549 -0.914 6.554
-4.515 -4.755 -1.042
1.816 -6.919 2.551
Te Hg Tc
4 2 2
Direct
0.563 0.125 0.250
0.187 0.625 0.250
0.375 0.437 0.750
0.875 0.813 0.750
0.000 0.000 0.000
0.750 0.250 0.500
0.500 0.500 0.000
0.250 0.750 0.500

Entry 3:
Tc2HgTe2 | Alexandria via LeMat-Bulk | PBE-GGA | relaxed; magnetic moment = 0.00 Bohr magnetons per cell; DFT total energy = -5.125 eV per atom; crystal system = tetragonal; Fermi-level density of states = 0.333 states/eV/atom
1.0
5.249 0.000 0.000
0.000 5.249 0.000
2.624 2.624 4.190
Te Hg Tc
2 1 2
Direct
0.750 0.250 0.500
0.250 0.750 0.500
0.000 0.000 0.000
0.369 0.369 0.261
0.631 0.631 0.739

Entry 4:
Tc2HgTe | Alexandria via LeMat-Bulk | PBE-GGA | relaxed; magnetic moment = 0.00 Bohr magnetons per cell; DFT total energy = -5.336 eV per atom; crystal system = monoclinic; energy relative to the lowest polymorph listed for this composition = 168 kJ/mol of formula units; Fermi-level density of states = 0.842 states/eV/atom
1.0
-2.671 0.939 -2.951
-0.326 -3.038 -0.671
-4.490 -1.981 3.434
Hg Tc Te
1 2 1
Direct
0.500 0.750 0.750
0.000 0.108 0.021
0.000 0.392 0.479
0.500 0.250 0.250

Entry 5:
TcHgTe2 | Alexandria via LeMat-Bulk | PBE-GGA | relaxed; magnetic moment = 2.14 Bohr magnetons per cell; DFT total energy = -3.535 eV per atom; crystal system = tetragonal; Fermi-level density of states = 0.751 states/eV/atom
1.0
5.190 0.000 0.000
0.000 5.190 0.000
0.000 0.000 3.428
Hg Tc Te
1 1 2
Direct
0.500 0.000 0.500
0.000 0.500 0.500
0.000 0.000 0.000
0.500 0.500 0.000

Entry 6:
Tc2HgTe | Alexandria via LeMat-Bulk | PBE-GGA | relaxed; magnetic moment = 0.00 Bohr magnetons per cell; DFT total energy = -5.234 eV per atom; crystal system = tetragonal; energy relative to the lowest polymorph listed for this composition = 208 kJ/mol of formula units; Fermi-level density of states = 0.846 states/eV/atom
1.0
-2.373 3.496 0.100
-3.358 -2.244 -1.248
-5.097 -1.152 8.631
Te Hg Tc
2 2 4
Direct
0.500 0.500 0.000
0.250 0.750 0.500
0.000 0.000 0.000
0.750 0.250 0.500
0.525 0.125 0.250
0.225 0.625 0.250
0.375 0.475 0.750
0.875 0.775 0.750

Entry 7:
TcHgTe2 | Alexandria via LeMat-Bulk | PBE-GGA | relaxed; magnetic moment = 0.25 Bohr magnetons per cell; DFT total energy = -4.025 eV per atom; crystal system = trigonal; Fermi-level density of states = 0.438 states/eV/atom
1.0
10.992 0.044 0.026
10.486 3.297 0.026
10.486 1.631 2.865
Hg Tc Te
1 1 2
Direct
0.483 0.483 0.483
0.747 0.747 0.747
0.026 0.026 0.026
0.244 0.244 0.244

Entry 8:
TcHgTe2 | Alexandria via LeMat-Bulk | PBE-GGA | relaxed; magnetic moment = 3.51 Bohr magnetons per cell; DFT total energy = -3.516 eV per atom; crystal system = tetragonal; Fermi-level density of states = 0.863 states/eV/atom
1.0
6.950 0.104 0.000
4.458 5.333 0.000
-5.704 -2.718 2.897
Hg Tc Te
1 1 2
Direct
0.500 0.500 0.000
0.750 0.250 0.500
0.000 0.000 0.000
0.250 0.750 0.500

Entry 9:
TcHgTe2 | Alexandria via LeMat-Bulk | PBE-GGA | relaxed; magnetic moment = 0.62 Bohr magnetons per cell; DFT total energy = -3.588 eV per atom; crystal system = orthorhombic; Fermi-level density of states = 1.153 states/eV/atom
1.0
5.114 0.011 0.000
-1.444 4.905 0.000
0.000 0.000 3.570
Hg Tc Te
1 1 2
Direct
0.500 0.000 0.500
0.000 0.500 0.500
0.000 0.000 0.000
0.500 0.500 0.000

Entry 10:
Tc2HgTe | Alexandria via LeMat-Bulk | PBE-GGA | relaxed; magnetic moment = 0.27 Bohr magnetons per cell; DFT total energy = -5.227 eV per atom; crystal system = cubic; energy relative to the lowest polymorph listed for this composition = 210 kJ/mol of formula units; Fermi-level density of states = 1.018 states/eV/atom
1.0
4.711 0.000 0.000
2.356 4.080 0.000
2.356 1.360 3.847
Hg Tc Te
1 2 1
Direct
0.500 0.500 0.500
0.000 0.000 0.000
0.250 0.250 0.250
0.750 0.750 0.750